1.
# AgSb2

A geometry-optimized AgSb2 structure (GGA-PBE, Alexandria via LeMat-Bulk).

POSCAR file:
```
AgSb2
1.0
-4.133 1.173 2.291
-3.593 -3.265 0.364
-1.044 -2.000 4.314
Sb Ag
2 1
Direct
0.250 0.250 0.250
0.750 0.750 0.750
0.000 0.000 0.000
```

- Fermi-level density of states (states/eV/f.u.) = 1.4
- crystal system = cubic
- uncorrected formation energy (eV per atom) = 0.149


2.
# Ti2BeHgH

A geometry-optimized Ti2BeHgH structure (GGA-PBE, Alexandria via LeMat-Bulk).

POSCAR file:
```
Ti2BeHgH
1.0
-3.078 -0.833 -2.354
2.497 -0.938 -2.932
0.061 -3.904 1.301
H Be Ti Hg
1 1 2 1
Direct
0.000 0.000 0.000
0.000 0.000 0.500
0.000 0.500 0.000
0.500 0.000 0.000
0.500 0.500 0.500
```

- uncorrected energy (eV/atom) = -4.70
- Fermi-level density of states (states/eV/f.u.) = 2.9
- crystal system = tetragonal


3.
# NdSmHf

A geometry-optimized NdSmHf structure (GGA-PBE, Alexandria via LeMat-Bulk).

POSCAR file:
```
NdSmHf
1.0
-1.341 3.487 0.653
-3.387 -1.052 -1.343
-3.575 -3.587 11.823
Nd Hf Sm
2 2 2
Direct
0.000 0.500 0.596
0.500 0.000 0.404
0.500 0.000 0.050
0.000 0.500 0.950
0.000 0.500 0.203
0.500 0.000 0.797
```

- Fermi-level density of states (states/eV/f.u.) = 4.5
- formation energy from the elements (eV/atom) = 0.14
- crystal system = tetragonal


4.
# HfZrPa

A geometry-optimized HfZrPa structure (GGA-PBE, Alexandria via LeMat-Bulk).

POSCAR file:
```
HfZrPa
1.0
3.172 0.234 -0.151
1.377 2.867 -0.151
-0.799 -0.545 16.151
Hf Zr Pa
2 2 2
Direct
0.820 0.820 0.007
0.316 0.316 0.495
0.207 0.207 0.168
0.929 0.929 0.335
0.707 0.707 0.663
0.428 0.428 0.839
```

- Fermi-level density of states (states/eV/f.u.) = 4.8
- formation energy from the elements (eV/atom) = 0.03
- crystal system = monoclinic


- What is the Fermi-level density of states in the second record?
  2.9 states/eV/f.u.